Entry from Alexandria via LeMat-Bulk: a relaxed ErOF crystal (PBE).

CIF file:
```
data_ErOF
_space_group_name_H-M_alt 'P n m a'
_space_group_IT_number 62
_cell_length_a 10.9215
_cell_length_b 3.6671
_cell_length_c 4.0726
_cell_angle_alpha 90.00
_cell_angle_beta 90.00
_cell_angle_gamma 90.00
loop_
_space_group_symop_operation_xyz
'x,y,z'
'-x,-y,-z'
'-x+1/2,-y,z+1/2'
'x+1/2,y,-z+1/2'
'x+1/2,-y+1/2,-z+1/2'
'-x+1/2,y+1/2,z+1/2'
'-x,y+1/2,-z'
'x,-y+1/2,z'
loop_
_atom_site_label
_atom_site_fract_x
_atom_site_fract_y
_atom_site_fract_z
Er1 0.1004 0.2500 0.2464
O1 0.0167 0.2500 0.7442
F1 0.2244 0.7500 0.0692
```

V = 13.6 Å³/atom
formation energy (no corrections) = -3.918 eV per atom
total magnetization = 0.0000 μB/atom